# 1
Y2Sn2Hg PBE relaxed; E_form = -279 kJ/mol of formula units; E above lowest polymorph = 0.00 eV/f.u.; Fermi-level density of states = 0.648 states/eV/atom
1.0
5.8323 -2.2588 0.0000
5.8323 2.2588 0.0000
-4.3959 0.0000 10.0621
Y Sn Hg
4 4 2
Cartesian
-0.6792 0.0000 1.8019
-0.5768 0.0000 6.1130
7.8455 0.0000 3.9491
7.9479 0.0000 8.2602
0.0603 0.0000 9.4389
2.5422 0.0000 6.0601
4.7265 0.0000 4.0019
7.2084 0.0000 0.6232
2.7230 0.0000 1.8338
4.5456 0.0000 8.2283

=====

# 2
YSnHg PBE relaxed; E_form = -148 kJ/mol of formula units; Fermi-level density of states = 0.558 states/eV/atom
1.0
2.3275 -7.8618 0.0000
2.3275 7.8618 0.0000
0.0000 0.0000 4.2484
Y Sn Hg
2 2 2
Cartesian
2.3275 6.3437 3.1863
2.3275 -6.3437 1.0621
2.3275 1.1237 3.1863
2.3275 -1.1237 1.0621
2.3275 3.7562 1.0621
2.3275 -3.7562 3.1863

=====

# 3
Y4SnHg2 PBE relaxed; E_form = -259 kJ/mol of formula units; Fermi-level density of states = 1.347 states/eV/atom
1.0
2.5835 1.4916 8.7321
-2.5835 1.4916 8.7321
0.0000 -2.9832 8.7321
Y Sn Hg
4 1 2
Cartesian
0.0000 0.0000 3.1670
0.0000 0.0000 9.7645
0.0000 0.0000 16.4319
0.0000 0.0000 23.0294
0.0000 0.0000 13.0982
0.0000 0.0000 6.7352
0.0000 0.0000 19.4612

=====

# 4
YSn2Hg PBE relaxed; E_form = -82 kJ/mol of formula units; Fermi-level density of states = 0.765 states/eV/atom
1.0
-4.1436 4.1436 3.1827
4.1436 -4.1436 3.1827
4.1436 4.1436 -3.1827
Y Sn Hg
2 4 2
Cartesian
0.0000 0.0000 0.0000
0.0000 4.1436 1.5914
2.0718 2.3202 -0.7957
5.9670 2.0718 0.7957
2.0718 1.8234 2.3870
-1.8234 2.0718 3.9784
4.1436 0.0000 1.5914
0.0000 0.0000 3.1827

=====

# 5
YSnHg PBE relaxed; E_form = -29 kJ/mol of formula units; Fermi-level density of states = 1.002 states/eV/atom
1.0
-1.7106 1.7106 8.0387
1.7106 -1.7106 8.0387
1.7106 1.7106 -8.0387
Y Sn Hg
1 1 1
Cartesian
0.0000 0.0000 0.0000
0.0000 0.0000 5.9500
0.0000 0.0000 3.0053

=====

# 6
Y3Sn2Hg PBE relaxed; E_form = -359 kJ/mol of formula units; Fermi-level density of states = 0.693 states/eV/atom
1.0
12.3240 0.0000 0.0000
0.0000 4.6306 0.0000
0.0000 0.0000 11.6661
Y Sn Hg
12 8 4
Cartesian
0.4883 1.1577 1.4292
1.6608 3.4730 6.6742
2.5038 1.1577 9.4920
3.6582 3.4730 3.6589
4.5012 1.1577 0.8411
5.6737 3.4730 7.2623
6.6504 1.1577 4.4038
7.8228 3.4730 10.8249
8.6658 1.1577 8.0071
9.8202 3.4730 2.1741
10.6633 1.1577 4.9919
11.8357 3.4730 10.2368
0.1001 3.4730 3.7634
2.2557 3.4730 0.3184
3.9064 1.1577 6.1514
6.0619 1.1577 9.5964
6.2621 3.4730 2.0697
8.4177 3.4730 5.5147
10.0684 1.1577 11.3477
12.2239 1.1577 7.9027
1.8477 1.1577 4.0939
4.3143 3.4730 9.9269
8.0097 1.1577 1.7392
10.4764 3.4730 7.5722